# 1
A plane-wave DFT calculation with PBE was carried out for a relaxed structure of Cr2CoB2.

Lattice parameters (Å, degrees): 5.390 5.390 2.999 90.00 90.00 90.00
Each line ends with the local moment (μB).
Fractional positions:
Cr 0.174 0.674 0.500  0.09
Cr 0.674 0.826 0.500  0.07
Cr 0.826 0.326 0.500  0.09
Cr 0.326 0.174 0.500  0.07
B 0.383 0.883 0.000  -0.01
B 0.883 0.617 0.000  -0.01
B 0.617 0.117 0.000  -0.01
B 0.117 0.383 0.000  -0.01
Co 0.000 0.000 0.000  0.32
Co 0.500 0.500 0.000  0.32

Output
**Space-group type**: P4/mbm
**Calculated total energy**: -83.4 eV for the cell shown
**ρ**: 7.0 Mg/m³



# 2
A plane-wave DFT calculation with PBE was carried out for a relaxed structure of CrCoB3.

Lattice parameters (Å, degrees): 3.788 3.788 3.788 90.00 90.00 90.00
Each line ends with the local moment (μB).
Fractional positions:
Cr 0.000 0.000 0.000  0.60
B 0.000 0.500 0.000  0.04
B 0.000 0.000 0.500  0.01
B 0.500 0.000 0.000  0.00
Co 0.500 0.500 0.500  2.07

Output
**Space-group type**: Pm-3m
**Calculated total energy**: -30.6 eV for the cell shown
**ρ**: 4.4 Mg/m³



# 3
A plane-wave DFT calculation with PBE was carried out for a relaxed structure of CrCoB.

Lattice parameters (Å, degrees): 4.084 4.084 4.242 104.50 104.50 118.69
Each line ends with the local moment (μB).
Fractional positions:
Cr 0.337 0.663 0.000  0.18
Cr 0.663 0.337 0.000  0.18
Co 0.167 0.167 0.334  0.80
Co 0.833 0.833 0.666  0.80
B 0.750 0.250 0.500  -0.02
B 0.250 0.750 0.500  -0.02

Output
**Space-group type**: Fmmm
**Calculated total energy**: -48.5 eV for the cell shown
**ρ**: 7.5 Mg/m³



# 4
A plane-wave DFT calculation with PBE was carried out for a relaxed structure of Cr2Co21B6.

Lattice parameters (Å, degrees): 7.343 7.343 7.343 60.00 60.00 60.00
Each line ends with the local moment (μB).
Fractional positions:
Cr 0.750 0.750 0.750  -1.25
Cr 0.250 0.250 0.250  -1.25
Co 0.000 0.000 0.000  1.63
Co 0.620 0.620 0.139  0.48
Co 0.620 0.139 0.620  0.48
Co 0.139 0.620 0.620  0.48
Co 0.620 0.620 0.620  0.48
Co 0.380 0.380 0.861  0.48
Co 0.380 0.861 0.380  0.48
Co 0.861 0.380 0.380  0.48
Co 0.380 0.380 0.380  0.48
Co 0.000 0.000 0.338  1.23
Co 0.662 0.000 0.338  1.23
Co 0.000 0.662 0.338  1.23
Co 0.662 0.338 0.000  1.23
Co 0.000 0.338 0.000  1.23
Co 0.000 0.338 0.662  1.23
Co 0.338 0.662 0.000  1.23
Co 0.338 0.000 0.662  1.23
Co 0.338 0.000 0.000  1.23
Co 0.000 0.000 0.662  1.23
Co 0.000 0.662 0.000  1.23
Co 0.662 0.000 0.000  1.23
B 0.724 0.724 0.276  -0.06
B 0.276 0.724 0.276  -0.06
B 0.724 0.276 0.276  -0.06
B 0.276 0.276 0.724  -0.06
B 0.724 0.276 0.724  -0.06
B 0.276 0.724 0.724  -0.06

Output
**Space-group type**: Fm-3m
**Calculated total energy**: -213.5 eV for the cell shown
**ρ**: 8.3 Mg/m³



# 5
A plane-wave DFT calculation with PBE was carried out for a relaxed structure of CrCo2B.

Lattice parameters (Å, degrees): 2.525 2.525 7.132 79.81 79.81 60.00
Each line ends with the local moment (μB).
Fractional positions:
Cr 0.500 0.500 0.500  0.01
B 0.000 0.000 0.000  -0.02
Co 0.734 0.734 0.797  0.28
Co 0.266 0.266 0.203  0.28

Output
**Space-group type**: R-3m
**Calculated total energy**: -30.1 eV for the cell shown
**ρ**: 7.8 Mg/m³



# 6
A plane-wave DFT calculation with PBE was carried out for a relaxed structure of Cr4CoB2.

Lattice parameters (Å, degrees): 4.208 4.208 5.988 69.43 69.43 90.00
Each line ends with the local moment (μB).
Fractional positions:
Cr 0.777 0.777 0.447  3.19
Cr 0.223 0.223 0.553  3.19
Cr 0.000 0.500 0.000  -0.33
Cr 0.500 0.000 0.000  -0.33
B 0.578 0.578 0.845  -0.02
B 0.422 0.422 0.155  -0.02
Co 0.000 0.000 0.000  -0.04

Output
**Space-group type**: I4/mmm
**Calculated total energy**: -52.2 eV for the cell shown
**ρ**: 5.2 Mg/m³



# 7
A plane-wave DFT calculation with PBE was carried out for a relaxed structure of CrCoB.

Lattice parameters (Å, degrees): 3.336 6.463 5.226 90.00 90.00 90.00
Fractional positions:
B 0.250 0.119 0.714
B 0.750 0.619 0.786
B 0.750 0.881 0.286
B 0.250 0.381 0.214
Cr 0.750 0.553 0.369
Cr 0.250 0.053 0.131
Cr 0.750 0.947 0.869
Cr 0.250 0.447 0.631
Co 0.250 0.835 0.504
Co 0.250 0.665 0.004
Co 0.750 0.165 0.496
Co 0.750 0.335 0.996

Output
**Space-group type**: Pnma
**Calculated total energy**: -94.9 eV for the cell shown
**ρ**: 7.2 Mg/m³



# 8
A plane-wave DFT calculation with PBE was carried out for a relaxed structure of CrCoB.

Lattice parameters (Å, degrees): 2.928 2.958 6.545 103.06 90.00 90.00
Each line ends with the local moment (μB).
Fractional positions:
Cr 0.250 0.911 0.823  -0.01
Cr 0.750 0.089 0.177  -0.01
Co 0.750 0.295 0.591  1.30
Co 0.250 0.705 0.409  1.30
B 0.250 0.538 0.077  -0.01
B 0.750 0.462 0.923  -0.01

Output
**Space-group type**: Cmcm
**Calculated total energy**: -48.4 eV for the cell shown
**ρ**: 7.3 Mg/m³



# 9
A plane-wave DFT calculation with PBE was carried out for a relaxed structure of CrCoB3.

Lattice parameters (Å, degrees): 3.638 3.638 3.638 90.00 90.00 90.00
Fractional positions:
Cr 0.500 0.500 0.500
B 0.000 0.500 0.000
B 0.000 0.000 0.500
B 0.500 0.000 0.000
Co 0.000 0.000 0.000

Output
**Space-group type**: Pm-3m
**Calculated total energy**: -31.8 eV for the cell shown
**ρ**: 4.9 Mg/m³



# 10
A plane-wave DFT calculation with PBE was carried out for a relaxed structure of CrCo10B3.

Lattice parameters (Å, degrees): 7.313 7.313 7.313 60.00 60.00 60.00
Each line ends with the local moment (μB).
Fractional positions:
Cr 0.250 0.250 0.250  -1.33
Cr 0.750 0.750 0.750  -1.33
Co 0.000 0.000 0.337  1.29
Co 0.000 0.337 0.000  1.29
Co 0.337 0.000 0.000  1.29
Co 0.663 0.337 0.000  1.29
Co 0.380 0.380 0.380  0.46
Co 0.139 0.620 0.620  0.46
Co 0.380 0.861 0.380  0.46
Co 0.663 0.000 0.337  1.29
Co 0.380 0.380 0.861  0.46
Co 0.861 0.380 0.380  0.46
Co 0.620 0.620 0.139  0.46
Co 0.000 0.000 0.663  1.29
Co 0.337 0.663 0.000  1.29
Co 0.000 0.663 0.337  1.29
Co 0.000 0.337 0.663  1.29
Co 0.663 0.000 0.000  1.29
Co 0.620 0.620 0.620  0.46
Co 0.000 0.663 0.000  1.29
Co 0.620 0.139 0.620  0.46
Co 0.337 0.000 0.663  1.29
B 0.724 0.724 0.276  -0.06
B 0.724 0.276 0.724  -0.06
B 0.276 0.724 0.724  -0.06
B 0.276 0.276 0.724  -0.06
B 0.724 0.276 0.276  -0.06
B 0.276 0.724 0.276  -0.06

Output
**Space-group type**: Fm-3m
**Calculated total energy**: -205.7 eV for the cell shown
**ρ**: 8.1 Mg/m³



# 11
A plane-wave DFT calculation with PBE was carried out for a relaxed structure of CrCoB2.

Lattice parameters (Å, degrees): 3.600 3.600 3.600 60.00 60.00 60.00
Each line ends with the local moment (μB).
Fractional positions:
Cr 0.000 0.000 0.000  1.75
B 0.250 0.250 0.250  -0.04
B 0.750 0.750 0.750  -0.04
Co 0.500 0.500 0.500  0.51

Output
**Space-group type**: Fm-3m
**Calculated total energy**: -29.9 eV for the cell shown
**ρ**: 6.7 Mg/m³



# 12
A plane-wave DFT calculation with PBE was carried out for a relaxed structure of CrCo2B.

Lattice parameters (Å, degrees): 4.617 4.617 5.756 66.36 66.36 90.00
Fractional positions:
Cr 0.000 0.000 0.000
Cr 0.750 0.250 0.500
B 0.500 0.500 0.000
B 0.250 0.750 0.500
Co 0.565 0.125 0.250
Co 0.185 0.625 0.250
Co 0.375 0.435 0.750
Co 0.875 0.815 0.750

Output
**Space-group type**: I-42d
**Calculated total energy**: -54.7 eV for the cell shown
**ρ**: 5.9 Mg/m³